A relaxed NiGeF2 crystal. Source: Alexandria, functional PBE with a Hubbard U.

Results
DOS at the Fermi energy in states/eV/cell: 1.02
Raw total energy in eV per formula unit: -14.04

a b c (Å): 5.3387 5.3387 6.2510
angles (deg): 64.72 64.72 90.00
Last column: magnetic moment on the atom in μB.
Fractional positions:
Ge 0.0000 0.0000 0.0000  0.03
Ge 0.7500 0.2500 0.5000  0.03
Ni 0.2500 0.7500 0.5000  1.77
Ni 0.5000 0.5000 0.0000  1.77
F 0.2603 0.6250 0.2500  0.05
F 0.3750 0.5103 0.7500  0.05
F 0.8750 0.7397 0.7500  0.05
F 0.4897 0.1250 0.2500  0.05